{"formula": "SmCdAg2", "functional": "meta-GGA SCAN", "state": "PBEsol geometry", "m_tot_mub_per_fu": 0.00, "spacegroup": "No. 225", "n_ef_per_ev_fu": 3.25, "formation_energy_ev_per_atom": -0.306, "lattice_angstrom": [[6.927, 0.000, 0.000], [0.000, 6.927, 0.000], [0.000, 0.000, 6.927]], "species": ["Sm", "Sm", "Sm", "Sm", "Cd", "Cd", "Cd", "Cd", "Ag", "Ag", "Ag", "Ag", "Ag", "Ag", "Ag", "Ag"], "frac_coords": [[0.000, 0.000, 0.000], [0.000, 0.500, 0.500], [0.500, 0.000, 0.500], [0.500, 0.500, 0.000], [0.000, 0.000, 0.500], [0.000, 0.500, 0.000], [0.500, 0.000, 0.000], [0.500, 0.500, 0.500], [0.250, 0.250, 0.250], [0.250, 0.250, 0.750], [0.250, 0.750, 0.250], [0.250, 0.750, 0.750], [0.750, 0.250, 0.250], [0.750, 0.250, 0.750], [0.750, 0.750, 0.250], [0.750, 0.750, 0.750]]}